No. 1
DFT (PBE) results for a relaxed structure of PmNdDyZn.

The calculation puts the density at 7.433 g/cm³. The volume comes out at 28.9 Å³/atom. The total magnetization is 0.0 μB per cell. The energy is -16.02 eV per cell. As for the formation enthalpy at 0 K: -0.625 eV per formula unit.

CIF file:
```
data_PmNdDyZn
_chemical_formula_sum 'Pm1 Nd1 Dy1 Zn1'
_cell_length_a 3.629
_cell_length_b 3.629
_cell_length_c 8.772
_cell_angle_alpha 90.00
_cell_angle_beta 90.00
_cell_angle_gamma 90.00
_space_group_name_H-M_alt 'P 4 m m'
_space_group_IT_number 99
loop_
_space_group_symop_operation_xyz
'x,y,z'
'-y,x,z'
'-x,-y,z'
'y,-x,z'
'-x,y,z'
'y,x,z'
'x,-y,z'
'-y,-x,z'
loop_
_atom_site_label
_atom_site_type_symbol
_atom_site_fract_x
_atom_site_fract_y
_atom_site_fract_z
_atom_site_occupancy
Pm1 Pm 0.000 0.000 0.000 1
Nd1 Nd 0.500 0.500 0.301 1
Dy1 Dy 0.000 0.000 0.591 1
Zn1 Zn 0.500 0.500 0.785 1
```



No. 2
DFT (PBE) results for a relaxed structure of Ba2Sb3Pd6.

The calculation puts the density at 8.079 g/cm³. The volume comes out at 23.9 Å³/atom. The total magnetization is 0.0 μB per cell. As for the uncorrected formation energy: -612 meV per atom. The energy is -54.10 eV per cell.

CIF file:
```
data_Ba2Sb3Pd6
_chemical_formula_sum 'Ba2 Sb3 Pd6'
_cell_length_a 8.0086
_cell_length_b 8.0086
_cell_length_c 4.7310
_cell_angle_alpha 90.00
_cell_angle_beta 90.00
_cell_angle_gamma 120.00
_space_group_name_H-M_alt 'P -6 2 m'
_space_group_IT_number 189
_space_group_name_Hall 'P -6 -2'
loop_
_atom_site_label
_atom_site_type_symbol
_atom_site_fract_x
_atom_site_fract_y
_atom_site_fract_z
_atom_site_occupancy
Ba1 Ba 0.3333 0.6667 0.0000 1
Sb1 Sb 0.0000 0.6449 0.5000 1
Pd1 Pd 0.0000 0.3009 0.5000 1
Pd2 Pd 0.0000 0.8017 0.0000 1
```



No. 3
DFT (PBE) results for a relaxed structure of K2AlBr.

The calculation puts the density at 2.238 g/cm³. The volume comes out at 34.3 Å³/atom. The total magnetization is 0.0 μB per cell. As for the uncorrected formation energy: -518 meV per atom. The energy is -9.68 eV per cell.

CIF file:
```
data_K2AlBr
_chemical_formula_sum 'K2 Al1 Br1'
_cell_length_a 3.795
_cell_length_b 3.833
_cell_length_c 9.442
_cell_angle_alpha 90.00
_cell_angle_beta 90.00
_cell_angle_gamma 90.00
_space_group_name_H-M_alt 'P m m m'
_space_group_IT_number 47
loop_
_space_group_symop_operation_xyz
'x,y,z'
'-x,-y,-z'
'-x,-y,z'
'x,y,-z'
'x,-y,-z'
'-x,y,z'
'-x,y,-z'
'x,-y,z'
loop_
_atom_site_label
_atom_site_type_symbol
_atom_site_fract_x
_atom_site_fract_y
_atom_site_fract_z
_atom_site_occupancy
K1 K 0.000 0.000 0.215 1
Al1 Al 0.500 0.500 0.500 1
Br1 Br 0.500 0.500 0.000 1
```



No. 4
DFT (PBE) results for a relaxed structure of NpSeO5.

The calculation puts the density at 5.184 g/cm³. The volume comes out at 18.1 Å³/atom. The total magnetization is 2.0 μB per cell. As for the uncorrected formation energy: -1889 meV per atom. The energy is -108.88 eV per cell.

CIF file:
```
data_NpSeO5
_chemical_formula_sum 'Np2 Se2 O10'
_cell_length_a 5.609
_cell_length_b 6.345
_cell_length_c 8.110
_cell_angle_alpha 99.04
_cell_angle_beta 109.35
_cell_angle_gamma 104.92
_space_group_name_H-M_alt 'P -1'
_space_group_IT_number 2
loop_
_space_group_symop_operation_xyz
'x,y,z'
'-x,-y,-z'
loop_
_atom_site_label
_atom_site_type_symbol
_atom_site_fract_x
_atom_site_fract_y
_atom_site_fract_z
_atom_site_occupancy
Np1 Np 0.000 0.000 0.000 1
Np2 Np 0.500 0.000 0.500 1
Se1 Se 0.205 0.396 0.731 1
O1 O 0.129 0.708 0.420 1
O2 O 0.146 0.831 0.893 1
O3 O 0.186 0.302 0.915 1
O4 O 0.333 0.211 0.635 1
O5 O 0.342 0.073 0.283 1
```



No. 5
DFT (PBE) results for a relaxed structure of EuDyGePt.

The calculation puts the density at 10.449 g/cm³. The volume comes out at 23.1 Å³/atom. The total magnetization is 27.0 μB per cell. The energy is -114.92 eV per cell. As for the formation enthalpy at 0 K: -3.195 eV per formula unit.

CIF file:
```
data_EuDyGePt
_chemical_formula_sum 'Eu4 Dy4 Ge4 Pt4'
_cell_length_a 7.180
_cell_length_b 7.180
_cell_length_c 7.180
_cell_angle_alpha 90.00
_cell_angle_beta 90.00
_cell_angle_gamma 90.00
_space_group_name_H-M_alt 'F -4 3 m'
_space_group_IT_number 216
_space_group_name_Hall 'F -4 2 3'
loop_
_atom_site_label
_atom_site_type_symbol
_atom_site_fract_x
_atom_site_fract_y
_atom_site_fract_z
_atom_site_occupancy
Eu1 Eu 0.000 0.000 0.000 1
Dy1 Dy 0.000 0.000 0.500 1
Ge1 Ge 0.250 0.250 0.250 1
Pt1 Pt 0.250 0.250 0.750 1
```



No. 6
DFT (PBE) results for a relaxed structure of Hf8PtRh5.

The calculation puts the density at 13.383 g/cm³. The volume comes out at 18.9 Å³/atom. The total magnetization is 0.0 μB per cell. The energy is -132.96 eV per cell. As for the formation enthalpy at 0 K: -10.532 eV per formula unit.

CIF file:
```
data_Hf8PtRh5
_chemical_formula_sum 'Hf8 Pt1 Rh5'
_cell_length_a 6.764
_cell_length_b 6.806
_cell_length_c 6.811
_cell_angle_alpha 106.07
_cell_angle_beta 106.66
_cell_angle_gamma 106.50
_space_group_name_H-M_alt 'P 1'
_space_group_IT_number 1
loop_
_space_group_symop_operation_xyz
'x,y,z'
loop_
_atom_site_label
_atom_site_type_symbol
_atom_site_fract_x
_atom_site_fract_y
_atom_site_fract_z
_atom_site_occupancy
Hf1 Hf 0.000 0.000 0.000 1
Hf2 Hf 0.041 0.193 0.611 1
Hf3 Hf 0.223 0.833 0.359 1
Hf4 Hf 0.393 0.473 0.141 1
Hf5 Hf 0.467 0.654 0.722 1
Hf6 Hf 0.590 0.081 0.176 1
Hf7 Hf 0.805 0.414 0.944 1
Hf8 Hf 0.872 0.614 0.535 1
Pt1 Pt 0.489 0.282 0.498 1
Rh1 Rh 0.076 0.382 0.322 1
Rh2 Rh 0.189 0.690 0.922 1
Rh3 Rh 0.354 0.093 0.812 1
Rh4 Rh 0.673 0.962 0.624 1
Rh5 Rh 0.778 0.796 0.223 1
```



No. 7
DFT (PBE) results for a relaxed structure of Sc2WBr.

The calculation puts the density at 7.512 g/cm³. The volume comes out at 19.5 Å³/atom. The total magnetization is 2.1 μB per cell. As for the uncorrected formation energy: 710 meV per atom. The energy is -97.80 eV per cell.

CIF file:
```
data_Sc2WBr
_chemical_formula_sum 'Sc8 W4 Br4'
_cell_length_a 6.788
_cell_length_b 6.788
_cell_length_c 6.788
_cell_angle_alpha 90.00
_cell_angle_beta 90.00
_cell_angle_gamma 90.00
_space_group_name_H-M_alt 'F -4 3 m'
_space_group_IT_number 216
_space_group_name_Hall 'F -4 2 3'
loop_
_atom_site_label
_atom_site_type_symbol
_atom_site_fract_x
_atom_site_fract_y
_atom_site_fract_z
_atom_site_occupancy
Sc1 Sc 0.000 0.000 0.000 1
Sc2 Sc 0.250 0.250 0.250 1
W1 W 0.000 0.000 0.500 1
Br1 Br 0.250 0.250 0.750 1
```



No. 8
DFT (PBE) results for a relaxed structure of Er2Ge3Pt9.

The calculation puts the density at 16.081 g/cm³. The volume comes out at 17.0 Å³/atom. The total magnetization is 0.0 μB per cell. The energy is -354.36 eV per cell. As for the formation enthalpy at 0 K: -11.245 eV per formula unit.

CIF file:
```
data_Er2Ge3Pt9
_chemical_formula_sum 'Er8 Ge12 Pt36'
_cell_length_a 13.488
_cell_length_b 7.831
_cell_length_c 10.101
_cell_angle_alpha 90.00
_cell_angle_beta 116.67
_cell_angle_gamma 90.00
_space_group_name_H-M_alt 'C 1 2/c 1'
_space_group_IT_number 15
loop_
_space_group_symop_operation_xyz
'x,y,z'
'-x,-y,-z'
'-x,y,-z+1/2'
'x,-y,z+1/2'
'x+1/2,y+1/2,z'
'-x+1/2,-y+1/2,-z'
'-x+1/2,y+1/2,-z+1/2'
'x+1/2,-y+1/2,z+1/2'
loop_
_atom_site_label
_atom_site_type_symbol
_atom_site_fract_x
_atom_site_fract_y
_atom_site_fract_z
_atom_site_occupancy
Er1 Er 0.168 0.085 0.251 1
Ge1 Ge 0.090 0.230 0.497 1
Ge2 Ge 0.250 0.250 0.000 1
Pt1 Pt 0.000 0.366 0.250 1
Pt2 Pt 0.059 0.081 0.924 1
Pt3 Pt 0.106 0.307 0.743 1
Pt4 Pt 0.115 0.410 0.080 1
Pt5 Pt 0.223 0.417 0.420 1
```



No. 9
DFT (PBE) results for a relaxed structure of BaLaTiPb2.

The calculation puts the density at 7.340 g/cm³. The volume comes out at 33.4 Å³/atom. The total magnetization is 0.0 μB per cell. The energy is -22.67 eV per cell. As for the formation enthalpy at 0 K: -0.512 eV per formula unit.

CIF file:
```
data_BaLaTiPb2
_chemical_formula_sum 'Ba1 La1 Ti1 Pb2'
_cell_length_a 5.633
_cell_length_b 5.633
_cell_length_c 5.265
_cell_angle_alpha 90.00
_cell_angle_beta 90.00
_cell_angle_gamma 90.00
_space_group_name_H-M_alt 'P 4/m m m'
_space_group_IT_number 123
_space_group_name_Hall '-P 4 2'
loop_
_atom_site_label
_atom_site_type_symbol
_atom_site_fract_x
_atom_site_fract_y
_atom_site_fract_z
_atom_site_occupancy
Ba1 Ba 0.000 0.000 0.000 1
La1 La 0.500 0.500 0.000 1
Ti1 Ti 0.500 0.500 0.500 1
Pb1 Pb 0.000 0.500 0.500 1
```



No. 10
DFT (PBE) results for a relaxed structure of Sc5Co.

The calculation puts the density at 3.487 g/cm³. The volume comes out at 22.5 Å³/atom. The total magnetization is 7.2 μB per cell. The energy is -142.21 eV per cell. As for the formation enthalpy at 0 K: 3.210 eV per formula unit.

CIF file:
```
data_Sc5Co
_chemical_formula_sum 'Sc20 Co4'
_cell_length_a 8.146
_cell_length_b 8.146
_cell_length_c 8.146
_cell_angle_alpha 90.00
_cell_angle_beta 90.00
_cell_angle_gamma 90.00
_space_group_name_H-M_alt 'F -4 3 m'
_space_group_IT_number 216
_space_group_name_Hall 'F -4 2 3'
loop_
_atom_site_label
_atom_site_type_symbol
_atom_site_fract_x
_atom_site_fract_y
_atom_site_fract_z
_atom_site_occupancy
Sc1 Sc 0.000 0.000 0.000 1
Sc2 Sc 0.125 0.125 0.375 1
Co1 Co 0.250 0.250 0.750 1
```



No. 11
DFT (PBE) results for a relaxed structure of KLi2Hg.

The calculation puts the density at 3.639 g/cm³. The volume comes out at 28.9 Å³/atom. The total magnetization is 0.0 μB per cell. The energy is -5.19 eV per cell. As for the formation enthalpy at 0 K: 0.036 eV per formula unit.

CIF file:
```
data_KLi2Hg
_chemical_formula_sum 'K1 Li2 Hg1'
_cell_length_a 5.321
_cell_length_b 4.043
_cell_length_c 5.450
_cell_angle_alpha 90.00
_cell_angle_beta 99.27
_cell_angle_gamma 90.00
_space_group_name_H-M_alt 'P 1 2/m 1'
_space_group_IT_number 10
loop_
_space_group_symop_operation_xyz
'x,y,z'
'-x,-y,-z'
'-x,y,-z'
'x,-y,z'
loop_
_atom_site_label
_atom_site_type_symbol
_atom_site_fract_x
_atom_site_fract_y
_atom_site_fract_z
_atom_site_occupancy
K1 K 0.000 0.000 0.000 1
Li1 Li 0.500 0.000 0.500 1
Li2 Li 0.500 0.500 0.000 1
Hg1 Hg 0.000 0.500 0.500 1
```



No. 12
DFT (PBE) results for a relaxed structure of Tc2Ru2Se.

The calculation puts the density at 9.680 g/cm³. The volume comes out at 16.4 Å³/atom. The total magnetization is 0.0 μB per cell. As for the uncorrected formation energy: 496 meV per atom. The energy is -80.58 eV per cell.

CIF file:
```
data_Tc2Ru2Se
_chemical_formula_sum 'Tc4 Ru4 Se2'
_cell_length_a 3.553
_cell_length_b 3.553
_cell_length_c 12.968
_cell_angle_alpha 90.00
_cell_angle_beta 90.00
_cell_angle_gamma 90.00
_space_group_name_H-M_alt 'I 4/m m m'
_space_group_IT_number 139
_space_group_name_Hall '-I 4 2'
loop_
_atom_site_label
_atom_site_type_symbol
_atom_site_fract_x
_atom_site_fract_y
_atom_site_fract_z
_atom_site_occupancy
Tc1 Tc 0.000 0.000 0.104 1
Ru1 Ru 0.000 0.500 0.250 1
Se1 Se 0.000 0.000 0.500 1
```



No. 13
DFT (PBE) results for a relaxed structure of PmInAg2I6.

The calculation puts the density at 4.619 g/cm³. The volume comes out at 44.5 Å³/atom. The total magnetization is 0.0 μB per cell. As for the uncorrected formation energy: -718 meV per atom. The energy is -89.02 eV per cell.

CIF file:
```
data_PmInAg2I6
_chemical_formula_sum 'Pm3 In3 Ag6 I18'
_cell_length_a 8.0791
_cell_length_b 8.0791
_cell_length_c 23.5994
_cell_angle_alpha 90.00
_cell_angle_beta 90.00
_cell_angle_gamma 120.00
_space_group_name_H-M_alt 'R -3'
_space_group_IT_number 148
_space_group_name_Hall '-R 3'
loop_
_atom_site_label
_atom_site_type_symbol
_atom_site_fract_x
_atom_site_fract_y
_atom_site_fract_z
_atom_site_occupancy
Pm1 Pm 0.0000 0.0000 0.0000 1
In1 In 0.0000 0.0000 0.5000 1
Ag1 Ag 0.0000 0.0000 0.2653 1
I1 I 0.0019 0.6881 0.9223 1
```